{
  "formula": "TmAsPb2O6",
  "functional": "PBE",
  "state": "relaxed",
  "cell": [[2.866, 1.655, 10.378], [-2.866, 1.655, 10.378], [0.000, -3.310, 10.378]],
  "species": ["Tm", "Tm", "As", "As", "Pb", "Pb", "Pb", "Pb", "O", "O", "O", "O", "O", "O", "O", "O", "O", "O", "O", "O"],
  "frac_coords": [[0.090, 0.090, 0.090], [0.910, 0.910, 0.910], [0.000, 0.000, 0.000], [0.500, 0.500, 0.500], [0.197, 0.197, 0.197], [0.351, 0.351, 0.351], [0.649, 0.649, 0.649], [0.803, 0.803, 0.803], [0.116, 0.116, 0.660], [0.116, 0.660, 0.116], [0.217, 0.692, 0.692], [0.308, 0.308, 0.783], [0.308, 0.783, 0.308], [0.340, 0.884, 0.884], [0.660, 0.116, 0.116], [0.692, 0.217, 0.692], [0.692, 0.692, 0.217], [0.783, 0.308, 0.308], [0.884, 0.340, 0.884], [0.884, 0.884, 0.340]],
  "e_form_raw_ev_per_atom": -1.739,
  "n_ef_per_ev_fu": 0.00,
  "spacegroup": "R-3m"
}

{
  "formula": "Tm3AsPbO",
  "functional": "PBE",
  "state": "relaxed",
  "cell": [[8.813, 0.000, 0.000], [0.000, 3.983, 0.000], [-1.873, 0.000, 8.640]],
  "species": ["Tm", "Tm", "Tm", "Tm", "Tm", "Tm", "As", "As", "Pb", "Pb", "O", "O"],
  "frac_coords": [[0.014, 0.250, 0.157], [0.342, 0.750, 0.578], [0.347, 0.750, 0.119], [0.653, 0.250, 0.881], [0.658, 0.250, 0.422], [0.986, 0.750, 0.843], [0.330, 0.250, 0.349], [0.670, 0.750, 0.651], [0.279, 0.250, 0.825], [0.721, 0.750, 0.175], [0.092, 0.750, 0.089], [0.908, 0.250, 0.911]],
  "e_form_raw_ev_per_atom": -1.635,
  "n_ef_per_ev_fu": 1.52,
  "spacegroup": "P2_1/m"
}